VASP calculation (GGA-PBE) on a relaxed ThH2F6 crystal.

Cell and atoms, written as CIF:
```
data_ThH2F6
_chemical_formula_sum 'Th3 H6 F18'
_symmetry_space_group_name_H-M 'R 3'
_symmetry_Int_Tables_number 146
_symmetry_space_group_name_Hall 'R 3'
_cell_length_a 5.0552
_cell_length_b 5.0552
_cell_length_c 15.7204
_cell_angle_alpha 90.00
_cell_angle_beta 90.00
_cell_angle_gamma 120.00
loop_
_atom_site_label
_atom_site_type_symbol
_atom_site_fract_x
_atom_site_fract_y
_atom_site_fract_z
_atom_site_occupancy
Th1 Th 0.0000 0.0000 0.0000 1
H1 H 0.0000 0.0000 0.2474 1
H2 H 0.0000 0.0000 0.4184 1
F1 F 0.0038 0.2719 0.4136 1
F2 F 0.0677 0.6741 0.9170 1
```

Output
Total DFT energy (no corrections) = -149.5 eV/cell
Crystal system = trigonal